1) Below is a relaxed TbYTh2 crystal, with properties calculated at the PBE level.

Unit cell a=11.7177 b=11.7177 c=11.7177 alpha=17.58 beta=17.58 gamma=17.58
Element x y z (fractional)
1 Tb 0.0000 0.0000 0.0000
2 Y 0.5000 0.5000 0.5000
3 Th 0.2504 0.2504 0.2504
4 Th 0.7496 0.7496 0.7496

Summary:
Symmetry = No. 166
Size of the total moment = 0.000 Bohr magnetons per cell

2) Below is a relaxed TbYTh2 crystal, with properties calculated at the PBE level.

Unit cell a=5.0194 b=5.0194 c=5.1165 alpha=90.00 beta=90.00 gamma=90.00
Element x y z (fractional)
1 Tb 0.0000 0.0000 0.0000
2 Y 0.5000 0.5000 0.0000
3 Th 0.0000 0.5000 0.5000
4 Th 0.5000 0.0000 0.5000

Summary:
Symmetry = No. 123
Size of the total moment = 0.000 Bohr magnetons per cell

3) Below is a relaxed TbYTh2 crystal, with properties calculated at the PBE level.

Unit cell a=9.8395 b=9.8395 c=3.5498 alpha=93.79 beta=93.79 gamma=126.29
Element x y z (fractional)
1 Tb 0.0000 0.5000 0.0000
2 Tb 0.5000 0.0000 0.5000
3 Y 0.0885 0.9115 0.2500
4 Y 0.9115 0.0885 0.7500
5 Th 0.2561 0.4238 0.4589
6 Th 0.4238 0.2561 0.9589
7 Th 0.5762 0.7439 0.0411
8 Th 0.7439 0.5762 0.5411

Summary:
Symmetry = No. 15
Size of the total moment = 0.000 Bohr magnetons per cell

4) Below is a relaxed TbYTh2 crystal, with properties calculated at the PBE level.

Unit cell a=11.8259 b=11.8259 c=11.8259 alpha=17.36 beta=17.36 gamma=17.36
Element x y z (fractional)
1 Tb 0.0000 0.0000 0.0000
2 Y 0.1700 0.1700 0.1700
3 Th 0.5854 0.5854 0.5854
4 Th 0.7512 0.7512 0.7512

Summary:
Symmetry = No. 160
Size of the total moment = 0.000 Bohr magnetons per cell

It turns out 1) is the most stable, with the second structure 0.8 kJ/mol of atoms higher.

1) Below is a relaxed Tb12Y6Th crystal, with properties calculated at the PBE level.

Unit cell a=8.5573 b=8.5573 c=8.5573 alpha=89.07 beta=89.07 gamma=89.07
Element x y z (fractional)
1 Tb 0.0117 0.2100 0.3493
2 Tb 0.2100 0.3493 0.0117
3 Tb 0.2251 0.4591 0.5620
4 Tb 0.3493 0.0117 0.2100
5 Tb 0.4380 0.7749 0.5409
6 Tb 0.4591 0.5620 0.2251
7 Tb 0.5409 0.4380 0.7749
8 Tb 0.5620 0.2251 0.4591
9 Tb 0.6507 0.9883 0.7900
10 Tb 0.7749 0.5409 0.4380
11 Tb 0.7900 0.6507 0.9883
12 Tb 0.9883 0.7900 0.6507
13 Y 0.0926 0.6911 0.2554
14 Y 0.2554 0.0926 0.6911
15 Y 0.3089 0.7446 0.9074
16 Y 0.6911 0.2554 0.0926
17 Y 0.7446 0.9074 0.3089
18 Y 0.9074 0.3089 0.7446
19 Th 0.0000 0.0000 0.0000

Summary:
Symmetry = No. 148
Size of the total moment = 0.000 Bohr magnetons per cell

2) Below is a relaxed Tb12Y6Th crystal, with properties calculated at the PBE level.

Unit cell a=8.7493 b=8.7493 c=8.7493 alpha=99.95 beta=99.95 gamma=99.95
Element x y z (fractional)
1 Tb 0.0000 0.2549 0.7451
2 Tb 0.0000 0.7451 0.2549
3 Tb 0.1537 0.1537 0.4251
4 Tb 0.1537 0.4251 0.1537
5 Tb 0.2549 0.0000 0.7451
6 Tb 0.2549 0.7451 0.0000
7 Tb 0.4251 0.1537 0.1537
8 Tb 0.5749 0.8463 0.8463
9 Tb 0.7451 0.0000 0.2549
10 Tb 0.7451 0.2549 0.0000
11 Tb 0.8463 0.5749 0.8463
12 Tb 0.8463 0.8463 0.5749
13 Y 0.1658 0.6056 0.6056
14 Y 0.3944 0.3944 0.8342
15 Y 0.3944 0.8342 0.3944
16 Y 0.6056 0.1658 0.6056
17 Y 0.6056 0.6056 0.1658
18 Y 0.8342 0.3944 0.3944
19 Th 0.5000 0.5000 0.5000

Summary:
Symmetry = No. 166
Size of the total moment = 0.001 Bohr magnetons per cell

It turns out 1) is the most stable, with the second structure 7.1 kJ/mol of atoms higher.

1) Below is a relaxed Tb7Y2Th2 crystal, with properties calculated at the PBE level.

Unit cell a=7.9979 b=7.9979 c=6.1249 alpha=106.05 beta=106.05 gamma=91.23
Element x y z (fractional)
1 Tb 0.0000 0.0000 0.0000
2 Tb 0.0628 0.5889 0.8300
3 Tb 0.2392 0.2392 0.5819
4 Tb 0.4111 0.9372 0.1700
5 Tb 0.5889 0.0628 0.8300
6 Tb 0.7608 0.7608 0.4181
7 Tb 0.9372 0.4111 0.1700
8 Y 0.2164 0.7836 0.5000
9 Y 0.7836 0.2164 0.5000
10 Th 0.4181 0.4181 0.1923
11 Th 0.5819 0.5819 0.8077

Summary:
Symmetry = No. 12
Size of the total moment = 0.000 Bohr magnetons per cell

2) Below is a relaxed Tb7Y2Th2 crystal, with properties calculated at the PBE level.

Unit cell a=6.8764 b=6.8764 c=9.4888 alpha=90.00 beta=90.00 gamma=122.77
Element x y z (fractional)
1 Tb 0.0000 0.0000 0.0000
2 Tb 0.0000 0.5000 0.3178
3 Tb 0.0000 0.5000 0.6822
4 Tb 0.5000 0.0000 0.3178
5 Tb 0.5000 0.0000 0.6822
6 Tb 0.5000 0.5000 0.1919
7 Tb 0.5000 0.5000 0.8081
8 Y 0.2772 0.7228 0.0000
9 Y 0.7228 0.2772 0.0000
10 Th 0.2528 0.2528 0.5000
11 Th 0.7472 0.7472 0.5000

Summary:
Symmetry = No. 65
Size of the total moment = 0.000 Bohr magnetons per cell

It turns out 1) is the most stable, with the second structure 21.6 kJ/mol of atoms higher.

1) Below is a relaxed Tb8YTh2 crystal, with properties calculated at the PBE level.

Unit cell a=10.1032 b=10.1032 c=5.5990 alpha=92.15 beta=92.15 gamma=40.88
Element x y z (fractional)
1 Tb 0.0469 0.0469 0.2366
2 Tb 0.0983 0.6393 0.2626
3 Tb 0.3176 0.3176 0.7684
4 Tb 0.3607 0.9017 0.7374
5 Tb 0.6393 0.0983 0.2626
6 Tb 0.6824 0.6824 0.2316
7 Tb 0.9017 0.3607 0.7374
8 Tb 0.9531 0.9531 0.7634
9 Y 0.5000 0.5000 0.0000
10 Th 0.2184 0.2184 0.2636
11 Th 0.7816 0.7816 0.7364

Summary:
Symmetry = No. 12
Size of the total moment = 0.000 Bohr magnetons per cell

2) Below is a relaxed Tb8YTh2 crystal, with properties calculated at the PBE level.

Unit cell a=9.0067 b=9.0067 c=6.6436 alpha=99.01 beta=99.01 gamma=43.16
Element x y z (fractional)
1 Tb 0.0908 0.0908 0.9029
2 Tb 0.1517 0.6735 0.5956
3 Tb 0.3008 0.3008 0.1838
4 Tb 0.3265 0.8483 0.4044
5 Tb 0.6735 0.1517 0.5956
6 Tb 0.6992 0.6992 0.8162
7 Tb 0.8483 0.3265 0.4044
8 Tb 0.9092 0.9092 0.0971
9 Y 0.5000 0.5000 0.0000
10 Th 0.2533 0.2533 0.6657
11 Th 0.7467 0.7467 0.3343

Summary:
Symmetry = No. 12
Size of the total moment = 0.000 Bohr magnetons per cell

It turns out 2) is the most stable, with the second structure 1.5 kJ/mol of atoms higher.

1) Below is a relaxed TbY3Th crystal, with properties calculated at the PBE level.

Unit cell a=3.4259 b=8.7172 c=8.7172 alpha=43.10 beta=90.00 gamma=90.00
Element x y z (fractional)
1 Tb 0.0000 0.0000 0.0000
2 Y 0.0000 0.4254 0.9047
3 Y 0.0000 0.9047 0.4254
4 Y 0.5000 0.8256 0.8256
5 Th 0.5000 0.4751 0.4751

Summary:
Symmetry = No. 38
Size of the total moment = 0.001 Bohr magnetons per cell

2) Below is a relaxed TbY3Th crystal, with properties calculated at the PBE level.

Unit cell a=6.2825 b=6.7831 c=9.2503 alpha=71.52 beta=89.78 gamma=62.45
Element x y z (fractional)
1 Tb 0.1319 0.4057 0.3484
2 Tb 0.8681 0.5943 0.6516
3 Y 0.0579 0.2032 0.0539
4 Y 0.2728 0.7986 0.4564
5 Y 0.3389 0.9999 0.7564
6 Y 0.6611 0.0001 0.2436
7 Y 0.7272 0.2014 0.5436
8 Y 0.9421 0.7968 0.9461
9 Th 0.4766 0.4045 0.8472
10 Th 0.5234 0.5955 0.1528

Summary:
Symmetry = No. 2
Size of the total moment = 0.000 Bohr magnetons per cell

It turns out 2) is the most stable, with the second structure 38.7 kJ/mol of atoms higher.

1) Below is a relaxed Tb8Y2Th3 crystal, with properties calculated at the PBE level.

Unit cell a=10.7559 b=10.7559 c=5.5957 alpha=90.05 beta=90.05 gamma=42.89
Element x y z (fractional)
1 Tb 0.0983 0.6884 0.9996
2 Tb 0.1687 0.1687 0.5010
3 Tb 0.3116 0.9017 0.0004
4 Tb 0.3722 0.3722 0.5004
5 Tb 0.6278 0.6278 0.4996
6 Tb 0.6884 0.0983 0.9996
7 Tb 0.8313 0.8313 0.4990
8 Tb 0.9017 0.3116 0.0004
9 Y 0.2606 0.2606 0.0012
10 Y 0.7394 0.7394 0.9988
11 Th 0.2050 0.7950 0.5000
12 Th 0.5000 0.5000 0.0000
13 Th 0.7950 0.2050 0.5000

Summary:
Symmetry = No. 12
Size of the total moment = 0.002 Bohr magnetons per cell

2) Below is a relaxed Tb8Y2Th3 crystal, with properties calculated at the PBE level.

Unit cell a=11.9967 b=11.9967 c=5.6402 alpha=103.56 beta=103.56 gamma=32.89
Element x y z (fractional)
1 Tb 0.0749 0.0749 0.0754
2 Tb 0.0890 0.6119 0.3498
3 Tb 0.3185 0.3185 0.8180
4 Tb 0.3881 0.9110 0.6502
5 Tb 0.6119 0.0890 0.3498
6 Tb 0.6815 0.6815 0.1820
7 Tb 0.9110 0.3881 0.6502
8 Tb 0.9251 0.9251 0.9246
9 Y 0.2239 0.2239 0.2241
10 Y 0.7761 0.7761 0.7759
11 Th 0.2337 0.7663 0.5000
12 Th 0.5000 0.5000 0.0000
13 Th 0.7663 0.2337 0.5000

Summary:
Symmetry = No. 12
Size of the total moment = 0.000 Bohr magnetons per cell

It turns out 2) is the most stable, with the second structure 10.1 kJ/mol of atoms higher.

1) Below is a relaxed Tb5Y2Th2 crystal, with properties calculated at the PBE level.

Unit cell a=11.5049 b=11.5049 c=7.8928 alpha=97.72 beta=97.72 gamma=17.36
Element x y z (fractional)
1 Tb 0.0000 0.0000 0.0000
2 Tb 0.0897 0.0897 0.7296
3 Tb 0.3073 0.3073 0.4515
4 Tb 0.6927 0.6927 0.5485
5 Tb 0.9103 0.9103 0.2704
6 Y 0.1775 0.1775 0.1458
7 Y 0.8225 0.8225 0.8542
8 Th 0.4449 0.4449 0.6482
9 Th 0.5551 0.5551 0.3518

Summary:
Symmetry = No. 12
Size of the total moment = 0.000 Bohr magnetons per cell

2) Below is a relaxed Tb5Y2Th2 crystal, with properties calculated at the PBE level.

Unit cell a=10.0839 b=10.0839 c=10.0839 alpha=85.14 beta=107.53 gamma=141.58
Element x y z (fractional)
1 Tb 0.2426 0.0535 0.2960
2 Tb 0.2426 0.4465 0.6891
3 Tb 0.4178 0.4388 0.4789
4 Tb 0.4672 0.0481 0.1332
5 Tb 0.4672 0.8340 0.9192
6 Tb 0.7574 0.5535 0.3109
7 Tb 0.7574 0.9465 0.7040
8 Tb 0.9148 0.3340 0.8668
9 Tb 0.9148 0.5481 0.0808
10 Tb 0.9599 0.9388 0.5211
11 Y 0.3293 0.4578 0.1205
12 Y 0.3293 0.7088 0.3716
13 Y 0.3373 0.2088 0.8795
14 Y 0.3373 0.9578 0.6284
15 Th 0.8037 0.3037 0.5000
16 Th 0.8037 0.8037 0.0000
17 Th 0.8578 0.6108 0.7471
18 Th 0.8637 0.1108 0.2529

Summary:
Symmetry = No. 46
Size of the total moment = 0.000 Bohr magnetons per cell

It turns out 2) is the most stable, with the second structure 4.3 kJ/mol of atoms higher.

1) Below is a relaxed Tb5Y2Th4 crystal, with properties calculated at the PBE level.

Unit cell a=9.0164 b=9.0164 c=6.5907 alpha=98.70 beta=98.70 gamma=43.43
Element x y z (fractional)
1 Tb 0.0000 0.0000 0.0000
2 Tb 0.1747 0.6528 0.5959
3 Tb 0.3472 0.8253 0.4041
4 Tb 0.6528 0.1747 0.5959
5 Tb 0.8253 0.3472 0.4041
6 Y 0.1971 0.1971 0.8240
7 Y 0.8029 0.8029 0.1760
8 Th 0.2489 0.2489 0.3410
9 Th 0.4062 0.4062 0.0927
10 Th 0.5938 0.5938 0.9073
11 Th 0.7511 0.7511 0.6590

Summary:
Symmetry = No. 12
Size of the total moment = 0.000 Bohr magnetons per cell

2) Below is a relaxed Tb5Y2Th4 crystal, with properties calculated at the PBE level.

Unit cell a=11.8719 b=11.8719 c=8.7136 alpha=104.49 beta=104.49 gamma=17.37
Element x y z (fractional)
1 Tb 0.0000 0.0000 0.0000
2 Tb 0.2728 0.2728 0.1883
3 Tb 0.3631 0.3631 0.9026
4 Tb 0.6368 0.6368 0.0974
5 Tb 0.7272 0.7272 0.8117
6 Y 0.0890 0.0890 0.7182
7 Y 0.9110 0.9110 0.2818
8 Th 0.1824 0.1824 0.4528
9 Th 0.4530 0.4530 0.6367
10 Th 0.5470 0.5470 0.3633
11 Th 0.8176 0.8176 0.5472

Summary:
Symmetry = No. 12
Size of the total moment = 0.000 Bohr magnetons per cell

It turns out 2) is the most stable, with the second structure 16.4 kJ/mol of atoms higher.